VASP calculation (PBE-GGA) on crystalline Ho2TmHgC at its relaxed geometry.

Lattice parameters (Å, degrees): 4.890 4.890 4.786 90.00 90.00 90.00
Space group P4/mmm (No. 123)
Inequivalent atoms, fractional coordinates:
Ho1 0.000 0.500 0.000 x2
Tm1 0.000 0.000 0.500 x1
Hg1 0.500 0.500 0.500 x1
C1 0.000 0.000 0.000 x1

V	22.89	Å³/atom
calculated formation energy	-399	meV/atom

---

VASP calculation (PBE-GGA) on crystalline HoTmHgC at its relaxed geometry.

Lattice parameters (Å, degrees): 3.5666 3.5666 23.3481 90.00 90.00 120.00
Space group R3m (No. 160, hexagonal axes)
Inequivalent atoms, fractional coordinates:
Ho1 0.0000 0.0000 0.0000 x3
Tm1 0.0000 0.0000 0.7810 x3
Hg1 0.0000 0.0000 0.2214 x3
C1 0.0000 0.0000 0.3901 x3

V	21.44	Å³/atom
calculated formation energy	-407	meV/atom

---

VASP calculation (PBE-GGA) on crystalline YHoHgC at its relaxed geometry.

Lattice parameters (Å, degrees): 3.6076 3.6076 23.4427 90.00 90.00 120.00
Space group R3m (No. 160, hexagonal axes)
Inequivalent atoms, fractional coordinates:
Y1 0.0000 0.0000 0.0000 x3
Ho1 0.0000 0.0000 0.2183 x3
Hg1 0.0000 0.0000 0.7776 x3
C1 0.0000 0.0000 0.6093 x3

V	22.01	Å³/atom
calculated formation energy	-386	meV/atom